#P
Compound: TaGeTeN2
Source: the Alexandria database
Functional: PBE-GGA
Structure: optimized geometry

Unit cell a=3.944 b=3.944 c=5.399 alpha=90.00 beta=90.00 gamma=90.00
Sites, in units of the cell vectors:
Ta 0.000 0.000 0.000
Ge 0.500 0.500 0.500
Te 0.500 0.500 0.000
N 0.000 0.500 0.500
N 0.500 0.000 0.500

Computed properties:
total moment: 0.10 μB/atom

---

#Q
Compound: TaGeTeN2
Source: the Alexandria database
Functional: PBE-GGA
Structure: optimized geometry

Unit cell a=4.072 b=4.072 c=5.750 alpha=90.00 beta=90.00 gamma=90.00
Sites, in units of the cell vectors:
Ta 0.000 0.000 0.000
Ge 0.500 0.500 0.500
Te 0.000 0.000 0.500
N 0.000 0.500 0.000
N 0.500 0.000 0.000

Computed properties:
total moment: 0.02 μB/atom

---

Which is the most stable structure? #Q is the most stable.